Compound: NaTiH2
Source: the Alexandria database
Functional: PBE
Structure: relaxed

Lattice parameters (Å, degrees): 5.1795 5.1795 7.5689 90.00 90.00 90.00
Closest atoms and distances in Å follow each position.
Space group I-42d (No. 122)
Symmetry-distinct sites (fractional):
Na: 0.0000 0.0000 0.0000  4 H 2.33
Ti: 0.0000 0.0000 0.5000  4 H 1.84
H: 0.1737 0.2500 0.6250  2 Ti 1.84

Output
**E**: -3.937 eV per atom
**Total moment**: 1.05 μB per formula unit
**Density**: 2.38 g cm⁻³
**Fermi-level density of states**: 0.53 states/eV per atom
**Excess energy over the best structure of this formula in the dataset**: 0 meV per atom


Compound: Na2TiH6
Source: the Alexandria database
Functional: PBE
Structure: relaxed

Lattice parameters (Å, degrees): 7.6332 7.6332 7.6332 90.00 90.00 90.00
Closest atoms and distances in Å follow each position.
Space group Fm-3m (No. 225)
Symmetry-distinct sites (fractional):
Na: 0.2500 0.2500 0.2500  12 H 2.70
Ti: 0.0000 0.0000 0.0000  6 H 1.81
H: 0.0000 0.0000 0.2375  1 Ti 1.81

Output
**E**: -3.323 eV per atom
**Total moment**: 0.00 μB per formula unit
**Density**: 1.49 g cm⁻³


Compound: NaTi3H
Source: the Alexandria database
Functional: PBE
Structure: relaxed

Lattice parameters (Å, degrees): 4.2260 4.2260 4.2260 90.00 90.00 90.00
Closest atoms and distances in Å follow each position.
Space group Pm-3m (No. 221)
Symmetry-distinct sites (fractional):
Na: 0.0000 0.0000 0.0000  12 Ti 2.99
Ti: 0.0000 0.5000 0.5000  2 H 2.11
H: 0.5000 0.5000 0.5000  6 Ti 2.11

Output
**E**: -5.291 eV per atom
**Total moment**: 0.00 μB per formula unit
**Density**: 3.69 g cm⁻³
**Fermi-level density of states**: 1.13 states/eV per atom
**Excess energy over the best structure of this formula in the dataset**: 0 meV per atom